Arrangement 1

# CaZr2Ru (PBE-GGA, optimized geometry)
# Total moment (μB per cell): 0.00
data_CaZr2Ru
_cell_length_a 3.396
_cell_length_b 5.302
_cell_length_c 10.106
_cell_angle_alpha 90.00
_cell_angle_beta 90.00
_cell_angle_gamma 90.00
_symmetry_space_group_name_H-M 'I m m m'
_symmetry_Int_Tables_number 71
_symmetry_space_group_name_Hall '-I 2 2'
loop_
_atom_site_label
_atom_site_type_symbol
_atom_site_fract_x
_atom_site_fract_y
_atom_site_fract_z
Ca1 Ca 0.000 0.000 0.000
Zr1 Zr 0.000 0.500 0.201
Ru1 Ru 0.000 0.000 0.500

Arrangement 2

# CaZr2Ru (PBE-GGA, optimized geometry)
# Total moment (μB per cell): 0.00
data_CaZr2Ru
_cell_length_a 3.4481
_cell_length_b 3.4481
_cell_length_c 28.8069
_cell_angle_alpha 90.00
_cell_angle_beta 90.00
_cell_angle_gamma 120.00
_symmetry_space_group_name_H-M 'R -3 m'
_symmetry_Int_Tables_number 166
_symmetry_space_group_name_Hall '-R 3 2"'
loop_
_atom_site_label
_atom_site_type_symbol
_atom_site_fract_x
_atom_site_fract_y
_atom_site_fract_z
Ca1 Ca 0.0000 0.0000 0.0000
Zr1 Zr 0.0000 0.0000 0.2281
Ru1 Ru 0.0000 0.0000 0.5000

Which of them is least stable? Easy: arrangement 2.

Arrangement 1

# CaZrRu2 (PBE-GGA, optimized geometry)
# Total moment (μB per cell): 0.01
data_CaZrRu2
_cell_length_a 7.306
_cell_length_b 7.306
_cell_length_c 6.020
_cell_angle_alpha 90.00
_cell_angle_beta 90.00
_cell_angle_gamma 90.00
_symmetry_space_group_name_H-M 'I -4 2 d'
_symmetry_Int_Tables_number 122
_symmetry_space_group_name_Hall 'I -4 2bw'
loop_
_atom_site_label
_atom_site_type_symbol
_atom_site_fract_x
_atom_site_fract_y
_atom_site_fract_z
Ca1 Ca 0.000 0.000 0.000
Zr1 Zr 0.000 0.000 0.500
Ru1 Ru 0.224 0.250 0.625

Arrangement 2

# CaZrRu2 (PBE-GGA, optimized geometry)
# Total moment (μB per cell): 0.00
data_CaZrRu2
_cell_length_a 8.404
_cell_length_b 3.203
_cell_length_c 6.134
_cell_angle_alpha 90.00
_cell_angle_beta 100.28
_cell_angle_gamma 90.00
_symmetry_space_group_name_H-M 'C 1 2/m 1'
_symmetry_Int_Tables_number 12
loop_
_symmetry_equiv_pos_as_xyz
'x,y,z'
'-x,-y,-z'
'-x,y,-z'
'x,-y,z'
'x+1/2,y+1/2,z'
'-x+1/2,-y+1/2,-z'
'-x+1/2,y+1/2,-z'
'x+1/2,-y+1/2,z'
loop_
_atom_site_label
_atom_site_type_symbol
_atom_site_fract_x
_atom_site_fract_y
_atom_site_fract_z
Ca1 Ca 0.000 0.000 0.000
Zr1 Zr 0.000 0.500 0.500
Ru1 Ru 0.240 0.000 0.692

Arrangement 3

# CaZrRu2 (PBE-GGA, optimized geometry)
# Total moment (μB per cell): 0.00
data_CaZrRu2
_cell_length_a 3.2742
_cell_length_b 3.2742
_cell_length_c 25.1087
_cell_angle_alpha 90.00
_cell_angle_beta 90.00
_cell_angle_gamma 120.00
_symmetry_space_group_name_H-M 'R -3 m'
_symmetry_Int_Tables_number 166
_symmetry_space_group_name_Hall '-R 3 2"'
loop_
_atom_site_label
_atom_site_type_symbol
_atom_site_fract_x
_atom_site_fract_y
_atom_site_fract_z
Ca1 Ca 0.0000 0.0000 0.0000
Zr1 Zr 0.0000 0.0000 0.5000
Ru1 Ru 0.0000 0.0000 0.2424

Which of them is least stable? Easy: arrangement 1.

Arrangement 1

# CaZrRu2 (PBE-GGA, optimized geometry)
# Total moment (μB per cell): 0.00
data_CaZrRu2
_cell_length_a 4.696
_cell_length_b 4.696
_cell_length_c 3.311
_cell_angle_alpha 90.00
_cell_angle_beta 90.00
_cell_angle_gamma 90.00
_symmetry_space_group_name_H-M 'P 4/m m m'
_symmetry_Int_Tables_number 123
_symmetry_space_group_name_Hall '-P 4 2'
loop_
_atom_site_label
_atom_site_type_symbol
_atom_site_fract_x
_atom_site_fract_y
_atom_site_fract_z
Ca1 Ca 0.000 0.000 0.000
Zr1 Zr 0.500 0.500 0.000
Ru1 Ru 0.000 0.500 0.500

Arrangement 2

# CaZrRu2 (PBE-GGA, optimized geometry)
# Total moment (μB per cell): 0.00
data_CaZrRu2
_cell_length_a 3.295
_cell_length_b 3.295
_cell_length_c 6.942
_cell_angle_alpha 90.00
_cell_angle_beta 90.00
_cell_angle_gamma 90.00
_symmetry_space_group_name_H-M 'P 4/m m m'
_symmetry_Int_Tables_number 123
_symmetry_space_group_name_Hall '-P 4 2'
loop_
_atom_site_label
_atom_site_type_symbol
_atom_site_fract_x
_atom_site_fract_y
_atom_site_fract_z
Ca1 Ca 0.000 0.000 0.000
Zr1 Zr 0.000 0.000 0.500
Ru1 Ru 0.500 0.500 0.281

Arrangement 3

# CaZrRu2 (PBE-GGA, optimized geometry)
# Total moment (μB per cell): 0.07
data_CaZrRu2
_cell_length_a 6.599
_cell_length_b 6.599
_cell_length_c 6.599
_cell_angle_alpha 90.00
_cell_angle_beta 90.00
_cell_angle_gamma 90.00
_symmetry_space_group_name_H-M 'F -4 3 m'
_symmetry_Int_Tables_number 216
_symmetry_space_group_name_Hall 'F -4 2 3'
loop_
_atom_site_label
_atom_site_type_symbol
_atom_site_fract_x
_atom_site_fract_y
_atom_site_fract_z
Ca1 Ca 0.000 0.000 0.000
Zr1 Zr 0.250 0.250 0.250
Ru1 Ru 0.000 0.000 0.500
Ru2 Ru 0.250 0.250 0.750

Which of them is least stable? Easy: arrangement 3.

Arrangement 1

# CaZrRu2 (PBE-GGA, optimized geometry)
# Total moment (μB per cell): 0.00
data_CaZrRu2
_cell_length_a 3.224
_cell_length_b 4.662
_cell_length_c 9.893
_cell_angle_alpha 90.00
_cell_angle_beta 90.00
_cell_angle_gamma 90.00
_symmetry_space_group_name_H-M 'I m m 2'
_symmetry_Int_Tables_number 44
loop_
_symmetry_equiv_pos_as_xyz
'x,y,z'
'-x,-y,z'
'-x,y,z'
'x,-y,z'
'x+1/2,y+1/2,z+1/2'
'-x+1/2,-y+1/2,z+1/2'
'-x+1/2,y+1/2,z+1/2'
'x+1/2,-y+1/2,z+1/2'
loop_
_atom_site_label
_atom_site_type_symbol
_atom_site_fract_x
_atom_site_fract_y
_atom_site_fract_z
Ca1 Ca 0.000 0.000 0.000
Zr1 Zr 0.000 0.500 0.221
Ru1 Ru 0.000 0.000 0.486
Ru2 Ru 0.000 0.500 0.764

Arrangement 2

# CaZrRu2 (PBE-GGA, optimized geometry)
# Total moment (μB per cell): 0.00
data_CaZrRu2
_cell_length_a 6.631
_cell_length_b 6.631
_cell_length_c 6.631
_cell_angle_alpha 90.00
_cell_angle_beta 90.00
_cell_angle_gamma 90.00
_symmetry_space_group_name_H-M 'F m -3 m'
_symmetry_Int_Tables_number 225
_symmetry_space_group_name_Hall '-F 4 2 3'
loop_
_atom_site_label
_atom_site_type_symbol
_atom_site_fract_x
_atom_site_fract_y
_atom_site_fract_z
Ca1 Ca 0.000 0.000 0.000
Zr1 Zr 0.000 0.000 0.500
Ru1 Ru 0.250 0.250 0.250

Arrangement 3

# CaZrRu2 (PBE-GGA, optimized geometry)
# Total moment (μB per cell): 0.00
data_CaZrRu2
_cell_length_a 3.920
_cell_length_b 3.920
_cell_length_c 9.660
_cell_angle_alpha 90.00
_cell_angle_beta 90.00
_cell_angle_gamma 90.00
_symmetry_space_group_name_H-M 'I -4 m 2'
_symmetry_Int_Tables_number 119
_symmetry_space_group_name_Hall 'I -4 -2'
loop_
_atom_site_label
_atom_site_type_symbol
_atom_site_fract_x
_atom_site_fract_y
_atom_site_fract_z
Ca1 Ca 0.000 0.000 0.000
Zr1 Zr 0.000 0.500 0.250
Ru1 Ru 0.000 0.000 0.500
Ru2 Ru 0.000 0.500 0.750

Which of them is least stable? Easy: arrangement 3.

Arrangement 1

# CaZrRu2 (PBE-GGA, optimized geometry)
# Total moment (μB per cell): 0.07
data_CaZrRu2
_cell_length_a 2.961
_cell_length_b 2.961
_cell_length_c 9.056
_cell_angle_alpha 90.00
_cell_angle_beta 90.00
_cell_angle_gamma 90.00
_symmetry_space_group_name_H-M 'P 4 m m'
_symmetry_Int_Tables_number 99
loop_
_symmetry_equiv_pos_as_xyz
'x,y,z'
'-y,x,z'
'-x,-y,z'
'y,-x,z'
'-x,y,z'
'y,x,z'
'x,-y,z'
'-y,-x,z'
loop_
_atom_site_label
_atom_site_type_symbol
_atom_site_fract_x
_atom_site_fract_y
_atom_site_fract_z
Ca1 Ca 0.000 0.000 0.000
Zr1 Zr 0.500 0.500 0.647
Ru1 Ru 0.000 0.000 0.418
Ru2 Ru 0.500 0.500 0.246

Arrangement 2

# CaZrRu2 (PBE-GGA, optimized geometry)
# Total moment (μB per cell): 0.00
data_CaZrRu2
_cell_length_a 2.989
_cell_length_b 3.706
_cell_length_c 7.742
_cell_angle_alpha 90.00
_cell_angle_beta 90.00
_cell_angle_gamma 90.00
_symmetry_space_group_name_H-M 'P m m 2'
_symmetry_Int_Tables_number 25
loop_
_symmetry_equiv_pos_as_xyz
'x,y,z'
'-x,-y,z'
'-x,y,z'
'x,-y,z'
loop_
_atom_site_label
_atom_site_type_symbol
_atom_site_fract_x
_atom_site_fract_y
_atom_site_fract_z
Ca1 Ca 0.000 0.000 0.000
Zr1 Zr 0.500 0.500 0.625
Ru1 Ru 0.000 0.000 0.409
Ru2 Ru 0.500 0.500 0.284

Which of them is least stable? Easy: arrangement 1.

Arrangement 1

# CaZrRu (PBE-GGA, optimized geometry)
# Total moment (μB per cell): 0.00
data_CaZrRu
_cell_length_a 4.6131
_cell_length_b 4.6131
_cell_length_c 3.4569
_cell_angle_alpha 90.00
_cell_angle_beta 90.00
_cell_angle_gamma 120.00
_symmetry_space_group_name_H-M 'P 3 m 1'
_symmetry_Int_Tables_number 156
loop_
_symmetry_equiv_pos_as_xyz
'x,y,z'
'-y,x-y,z'
'-x+y,-x,z'
'-y,-x,z'
'-x+y,y,z'
'x,x-y,z'
loop_
_atom_site_label
_atom_site_type_symbol
_atom_site_fract_x
_atom_site_fract_y
_atom_site_fract_z
Ca1 Ca 0.0000 0.0000 0.0000
Zr1 Zr 0.3333 0.6667 0.5565
Ru1 Ru 0.6667 0.3333 0.3462

Arrangement 2

# CaZrRu (PBE-GGA, optimized geometry)
# Total moment (μB per cell): 0.00
data_CaZrRu
_cell_length_a 6.575
_cell_length_b 6.575
_cell_length_c 6.575
_cell_angle_alpha 90.00
_cell_angle_beta 90.00
_cell_angle_gamma 90.00
_symmetry_space_group_name_H-M 'F -4 3 m'
_symmetry_Int_Tables_number 216
_symmetry_space_group_name_Hall 'F -4 2 3'
loop_
_atom_site_label
_atom_site_type_symbol
_atom_site_fract_x
_atom_site_fract_y
_atom_site_fract_z
Ca1 Ca 0.000 0.000 0.000
Zr1 Zr 0.000 0.000 0.500
Ru1 Ru 0.250 0.250 0.750

Arrangement 3

# CaZrRu (PBE-GGA, optimized geometry)
# Total moment (μB per cell): 0.00
data_CaZrRu
_cell_length_a 3.334
_cell_length_b 3.334
_cell_length_c 12.674
_cell_angle_alpha 90.00
_cell_angle_beta 90.00
_cell_angle_gamma 90.00
_symmetry_space_group_name_H-M 'I 4 m m'
_symmetry_Int_Tables_number 107
_symmetry_space_group_name_Hall 'I 4 -2'
loop_
_atom_site_label
_atom_site_type_symbol
_atom_site_fract_x
_atom_site_fract_y
_atom_site_fract_z
Ca1 Ca 0.000 0.000 0.000
Zr1 Zr 0.000 0.000 0.263
Ru1 Ru 0.000 0.000 0.660

Arrangement 4

# CaZrRu (PBE-GGA, optimized geometry)
# Total moment (μB per cell): 0.00
data_CaZrRu
_cell_length_a 3.5588
_cell_length_b 3.5588
_cell_length_c 6.7941
_cell_angle_alpha 90.00
_cell_angle_beta 90.00
_cell_angle_gamma 120.00
_symmetry_space_group_name_H-M 'P 3 m 1'
_symmetry_Int_Tables_number 156
loop_
_symmetry_equiv_pos_as_xyz
'x,y,z'
'-y,x-y,z'
'-x+y,-x,z'
'-y,-x,z'
'-x+y,y,z'
'x,x-y,z'
loop_
_atom_site_label
_atom_site_type_symbol
_atom_site_fract_x
_atom_site_fract_y
_atom_site_fract_z
Ca1 Ca 0.0000 0.0000 0.0000
Zr1 Zr 0.3333 0.6667 0.5406
Ru1 Ru 0.6667 0.3333 0.3151

Which of them is least stable? Easy: arrangement 1.

Arrangement 1

# Ca2SbS4 (PBE-GGA, optimized geometry)
# Total moment (μB per cell): 0.00
data_Ca2SbS4
_cell_length_a 8.382
_cell_length_b 8.382
_cell_length_c 8.732
_cell_angle_alpha 90.00
_cell_angle_beta 90.00
_cell_angle_gamma 90.00
_symmetry_space_group_name_H-M 'I -4 2 d'
_symmetry_Int_Tables_number 122
_symmetry_space_group_name_Hall 'I -4 2bw'
loop_
_atom_site_label
_atom_site_type_symbol
_atom_site_fract_x
_atom_site_fract_y
_atom_site_fract_z
Ca1 Ca 0.130 0.750 0.125
Sb1 Sb 0.000 0.000 0.500
S1 S 0.060 0.690 0.446

Arrangement 2

# Ca2SbS4 (PBE-GGA, optimized geometry)
# Total moment (μB per cell): 0.00
data_Ca2SbS4
_cell_length_a 13.350
_cell_length_b 3.934
_cell_length_c 7.412
_cell_angle_alpha 90.00
_cell_angle_beta 117.74
_cell_angle_gamma 90.00
_symmetry_space_group_name_H-M 'C 1 2/m 1'
_symmetry_Int_Tables_number 12
loop_
_symmetry_equiv_pos_as_xyz
'x,y,z'
'-x,-y,-z'
'-x,y,-z'
'x,-y,z'
'x+1/2,y+1/2,z'
'-x+1/2,-y+1/2,-z'
'-x+1/2,y+1/2,-z'
'x+1/2,-y+1/2,z'
loop_
_atom_site_label
_atom_site_type_symbol
_atom_site_fract_x
_atom_site_fract_y
_atom_site_fract_z
Ca1 Ca 0.200 0.000 0.178
Sb1 Sb 0.000 0.500 0.500
S1 S 0.107 0.500 0.893
S2 S 0.145 0.000 0.509

Which of them is least stable? Easy: arrangement 1.

Arrangement 1

# CaSbTe2S (PBE-GGA, optimized geometry)
# Total moment (μB per cell): 0.97
data_CaSbTe2S
_cell_length_a 5.602
_cell_length_b 5.602
_cell_length_c 6.182
_cell_angle_alpha 90.00
_cell_angle_beta 90.00
_cell_angle_gamma 90.00
_symmetry_space_group_name_H-M 'P 4/m m m'
_symmetry_Int_Tables_number 123
_symmetry_space_group_name_Hall '-P 4 2'
loop_
_atom_site_label
_atom_site_type_symbol
_atom_site_fract_x
_atom_site_fract_y
_atom_site_fract_z
Ca1 Ca 0.000 0.000 0.000
Sb1 Sb 0.000 0.000 0.500
Te1 Te 0.000 0.500 0.500
S1 S 0.500 0.500 0.000

Arrangement 2

# CaSbTe2S (PBE-GGA, optimized geometry)
# Total moment (μB per cell): 1.63
data_CaSbTe2S
_cell_length_a 5.714
_cell_length_b 5.714
_cell_length_c 5.943
_cell_angle_alpha 90.00
_cell_angle_beta 90.00
_cell_angle_gamma 90.00
_symmetry_space_group_name_H-M 'P 4/m m m'
_symmetry_Int_Tables_number 123
_symmetry_space_group_name_Hall '-P 4 2'
loop_
_atom_site_label
_atom_site_type_symbol
_atom_site_fract_x
_atom_site_fract_y
_atom_site_fract_z
Ca1 Ca 0.000 0.000 0.000
Sb1 Sb 0.000 0.000 0.500
Te1 Te 0.000 0.500 0.000
S1 S 0.500 0.500 0.500

Arrangement 3

# CaSbTe2S (PBE-GGA, optimized geometry)
# Total moment (μB per cell): 0.00
data_CaSbTe2S
_cell_length_a 5.312
_cell_length_b 5.312
_cell_length_c 5.298
_cell_angle_alpha 90.00
_cell_angle_beta 90.00
_cell_angle_gamma 90.00
_symmetry_space_group_name_H-M 'P 4/m m m'
_symmetry_Int_Tables_number 123
_symmetry_space_group_name_Hall '-P 4 2'
loop_
_atom_site_label
_atom_site_type_symbol
_atom_site_fract_x
_atom_site_fract_y
_atom_site_fract_z
Ca1 Ca 0.000 0.000 0.000
Sb1 Sb 0.500 0.500 0.000
Te1 Te 0.000 0.500 0.500
S1 S 0.500 0.500 0.500

Which of them is least stable? Easy: arrangement 2.